# 1
This record from the Alexandria database describes an optimized crystal structure of Sm3Tm7. The functional is GGA-PBE.

Output
Energy of formation from the pure elements = 18.0 kJ per mole of atoms
Magnetization = 0.00 Bohr magnetons per cell
SG = P6_3mc, No. 186
Electronic total energy = -4.359 eV per atom
Energy above the lowest structure with this stoichiometry = 164.0 meV per atom

```
Sm3Tm7
1.0
10.6672 0.0000 0.0000
-5.3336 9.2380 0.0000
0.0000 0.0000 6.4105
Sm Tm
6 14
direct
0.2033 0.4066 0.0000
0.2033 0.7967 0.0000
0.4066 0.2033 0.5000
0.5934 0.7967 0.0000
0.7967 0.2033 0.5000
0.7967 0.5934 0.5000
0.0573 0.5286 0.3412
0.1213 0.2427 0.5182
0.1213 0.8787 0.5182
0.2427 0.1213 0.0182
0.3333 0.6667 0.6525
0.4714 0.5286 0.3412
0.4714 0.9427 0.3412
0.5286 0.0573 0.8412
0.5286 0.4714 0.8412
0.6667 0.3333 0.1525
0.7573 0.8787 0.5182
0.8787 0.1213 0.0182
0.8787 0.7573 0.0182
0.9427 0.4714 0.8412
```


# 2
This record from the Alexandria database describes an optimized crystal structure of Sm4Tm. The functional is GGA-PBE.

Output
Energy of formation from the pure elements = 1.4 kJ per mole of atoms
Magnetization = 0.00 Bohr magnetons per cell
SG = C2/m, No. 12
Electronic total energy = -4.655 eV per atom
Energy above the lowest structure with this stoichiometry = 0.0 meV per atom

```
Sm4Tm
1.0
6.2361 0.0000 0.0000
0.0000 3.6008 0.0000
-2.0554 0.0000 14.6450
Sm Tm
8 2
direct
0.1012 0.0000 0.3040
0.2009 0.5000 0.1011
0.2991 0.0000 0.8989
0.3988 0.5000 0.6960
0.6012 0.5000 0.3040
0.7009 0.0000 0.1011
0.7991 0.5000 0.8989
0.8988 0.0000 0.6960
0.0000 0.5000 0.5000
0.5000 0.0000 0.5000
```


# 3
This record from the Alexandria database describes an optimized crystal structure of SmTm2. The functional is GGA-PBE.

Output
Energy of formation from the pure elements = -0.6 kJ per mole of atoms
Magnetization = 0.00 Bohr magnetons per cell
SG = R-3m, No. 166
Electronic total energy = -4.560 eV per atom
Energy above the lowest structure with this stoichiometry = 0.0 meV per atom

```
SmTm2
1.0
3.5619 0.0000 0.0000
-1.7810 3.0847 0.0000
0.0000 0.0000 25.5323
Sm Tm
3 6
direct
0.0000 0.0000 0.0000
0.3333 0.6667 0.6667
0.6667 0.3333 0.3333
0.0000 0.0000 0.2210
0.0000 0.0000 0.7790
0.3333 0.6667 0.4457
0.3333 0.6667 0.8876
0.6667 0.3333 0.1124
0.6667 0.3333 0.5543
```


# 4
This record from the Alexandria database describes an optimized crystal structure of SmTm2. The functional is GGA-PBE.

Output
Energy of formation from the pure elements = 2.5 kJ per mole of atoms
Magnetization = 0.00 Bohr magnetons per cell
SG = I4/mmm, No. 139
Electronic total energy = -4.528 eV per atom
Energy above the lowest structure with this stoichiometry = 31.7 meV per atom

```
SmTm2
1.0
3.5311 0.0000 0.0000
0.0000 3.5311 0.0000
0.0000 0.0000 15.0355
Sm Tm
2 4
direct
0.0000 0.0000 0.0000
0.5000 0.5000 0.5000
0.0000 0.0000 0.3317
0.0000 0.0000 0.6683
0.5000 0.5000 0.1683
0.5000 0.5000 0.8317
```


# 5
This record from the Alexandria database describes an optimized crystal structure of Sm5Tm3. The functional is GGA-PBE.

Output
Energy of formation from the pure elements = 2.2 kJ per mole of atoms
Magnetization = 0.00 Bohr magnetons per cell
SG = P4/mmm, No. 123
Electronic total energy = -4.603 eV per atom
Energy above the lowest structure with this stoichiometry = 4.5 meV per atom

```
Sm5Tm3
1.0
3.5785 0.0000 0.0000
0.0000 3.5785 0.0000
0.0000 0.0000 20.2058
Sm Tm
5 3
direct
0.0000 0.0000 0.0000
0.0000 0.0000 0.2480
0.0000 0.0000 0.7520
0.5000 0.5000 0.3760
0.5000 0.5000 0.6240
0.0000 0.0000 0.5000
0.5000 0.5000 0.1235
0.5000 0.5000 0.8765
```


# 6
This record from the Alexandria database describes an optimized crystal structure of Sm2Tm. The functional is GGA-PBE.

Output
Energy of formation from the pure elements = 25.4 kJ per mole of atoms
Magnetization = 0.00 Bohr magnetons per cell
SG = Fd-3m, No. 227
Electronic total energy = -4.373 eV per atom
Energy above the lowest structure with this stoichiometry = 240.1 meV per atom

```
Sm2Tm
1.0
0.0000 4.6668 4.6668
4.6668 0.0000 4.6668
4.6668 4.6668 0.0000
Sm Tm
4 2
direct
0.0000 0.0000 0.0000
0.0000 0.0000 0.5000
0.0000 0.5000 0.0000
0.5000 0.0000 0.0000
0.3750 0.3750 0.3750
0.6250 0.6250 0.6250
```


# 7
This record from the Alexandria database describes an optimized crystal structure of Sm6Tm. The functional is GGA-PBE.

Output
Energy of formation from the pure elements = 131.5 kJ per mole of atoms
Magnetization = 0.00 Bohr magnetons per cell
SG = Im-3m, No. 229
Electronic total energy = -3.321 eV per atom
Energy above the lowest structure with this stoichiometry = 1108.4 meV per atom

```
Sm6Tm
1.0
8.0778 0.0000 0.0000
0.0000 8.0778 0.0000
0.0000 0.0000 8.0778
Sm Tm
12 2
direct
0.0000 0.2500 0.5000
0.0000 0.5000 0.2500
0.0000 0.5000 0.7500
0.0000 0.7500 0.5000
0.2500 0.0000 0.5000
0.2500 0.5000 0.0000
0.5000 0.0000 0.2500
0.5000 0.0000 0.7500
0.5000 0.2500 0.0000
0.5000 0.7500 0.0000
0.7500 0.0000 0.5000
0.7500 0.5000 0.0000
0.0000 0.0000 0.0000
0.5000 0.5000 0.5000
```


# 8
This record from the Alexandria database describes an optimized crystal structure of SmTm2. The functional is GGA-PBE.

Output
Energy of formation from the pure elements = 28.0 kJ per mole of atoms
Magnetization = 4.91 Bohr magnetons per cell
SG = Fd-3m, No. 227
Electronic total energy = -4.263 eV per atom
Energy above the lowest structure with this stoichiometry = 296.4 meV per atom

```
SmTm2
1.0
0.0000 4.6645 4.6645
4.6645 0.0000 4.6645
4.6645 4.6645 0.0000
Sm Tm
2 4
direct
0.1250 0.1250 0.1250
0.8750 0.8750 0.8750
0.0000 0.5000 0.5000
0.5000 0.0000 0.5000
0.5000 0.5000 0.0000
0.5000 0.5000 0.5000
```


# 9
This record from the Alexandria database describes an optimized crystal structure of Sm5Tm3. The functional is GGA-PBE.

Output
Energy of formation from the pure elements = 1.8 kJ per mole of atoms
Magnetization = 0.00 Bohr magnetons per cell
SG = Cmmm, No. 65
Electronic total energy = -4.608 eV per atom
Energy above the lowest structure with this stoichiometry = 0.0 meV per atom

```
Sm5Tm3
1.0
10.0929 0.0000 0.0000
0.0000 10.1296 0.0000
0.0000 0.0000 5.0518
Sm Tm
10 6
direct
0.0000 0.0000 0.0000
0.2485 0.5000 0.5000
0.2500 0.2500 0.0000
0.2500 0.7500 0.0000
0.2515 0.0000 0.5000
0.5000 0.5000 0.0000
0.7485 0.0000 0.5000
0.7500 0.2500 0.0000
0.7500 0.7500 0.0000
0.7515 0.5000 0.5000
0.0000 0.2519 0.5000
0.0000 0.5000 0.0000
0.0000 0.7481 0.5000
0.5000 0.0000 0.0000
0.5000 0.2481 0.5000
0.5000 0.7519 0.5000
```


# 10
This record from the Alexandria database describes an optimized crystal structure of SmTm7. The functional is GGA-PBE.

Output
Energy of formation from the pure elements = 2.8 kJ per mole of atoms
Magnetization = 0.00 Bohr magnetons per cell
SG = Immm, No. 71
Electronic total energy = -4.473 eV per atom

```
SmTm7
1.0
3.4819 0.0000 0.0000
0.0000 10.9645 0.0000
0.0000 0.0000 12.8570
Sm Tm
2 14
direct
0.0000 0.0000 0.0000
0.5000 0.5000 0.5000
0.0000 0.2285 0.3663
0.0000 0.2285 0.6337
0.0000 0.5000 0.0000
0.0000 0.5000 0.2577
0.0000 0.5000 0.7423
0.0000 0.7715 0.3663
0.0000 0.7715 0.6337
0.5000 0.0000 0.2423
0.5000 0.0000 0.5000
0.5000 0.0000 0.7577
0.5000 0.2715 0.1337
0.5000 0.2715 0.8663
0.5000 0.7285 0.1337
0.5000 0.7285 0.8663
```


# 11
This record from the Alexandria database describes an optimized crystal structure of Sm2Tm13. The functional is GGA-PBE.

Output
Energy of formation from the pure elements = 5.0 kJ per mole of atoms
Magnetization = 0.00 Bohr magnetons per cell
SG = P-1, No. 2
Electronic total energy = -4.453 eV per atom

```
Sm2Tm13
1.0
6.5085 0.0000 0.0000
1.3701 8.5107 0.0000
0.8693 3.0675 8.2946
Sm Tm
2 13
direct
0.1975 0.3059 0.3957
0.8025 0.6941 0.6043
0.0000 0.5000 0.0000
0.0955 0.9270 0.6927
0.1364 0.6973 0.2646
0.2379 0.0758 0.9758
0.3348 0.4977 0.6687
0.4297 0.9230 0.3591
0.4644 0.6970 0.9342
0.5356 0.3030 0.0658
0.5703 0.0770 0.6409
0.6652 0.5023 0.3313
0.7621 0.9242 0.0242
0.8636 0.3027 0.7354
0.9045 0.0730 0.3073
```


# 12
This record from the Alexandria database describes an optimized crystal structure of Sm5Tm7. The functional is GGA-PBE.

Output
Energy of formation from the pure elements = 18.1 kJ per mole of atoms
Magnetization = 0.00 Bohr magnetons per cell
SG = C2/m, No. 12
Electronic total energy = -4.387 eV per atom
Energy above the lowest structure with this stoichiometry = 181.4 meV per atom

```
Sm5Tm7
1.0
4.8255 -2.8130 0.0000
4.8255 2.8130 0.0000
-3.2718 0.0000 14.2305
Sm Tm
5 7
direct
0.0000 0.0000 0.0000
0.1431 0.1431 0.4359
0.3942 0.3942 0.1987
0.6058 0.6058 0.8013
0.8569 0.8569 0.5641
0.0647 0.0647 0.2141
0.2291 0.2291 0.6728
0.3089 0.3089 0.9191
0.5000 0.5000 0.5000
0.6911 0.6911 0.0809
0.7709 0.7709 0.3272
0.9353 0.9353 0.7859
```